Density functional theory data (PBE-GGA) for a relaxed Ta2BeNb crystal.

Output
Theoretical density   11.375 g cm⁻³
Crystal system   tetragonal
Energy   -0.324 Ha/atom

Unit cell a=7.257 b=7.257 c=5.143 alpha=90.00 beta=90.00 gamma=90.00
Fractional positions:
Ta  0.210  0.250  0.125
Ta  0.250  0.710  0.375
Ta  0.250  0.790  0.875
Ta  0.290  0.250  0.625
Ta  0.710  0.750  0.625
Ta  0.750  0.210  0.875
Ta  0.750  0.290  0.375
Ta  0.790  0.750  0.125
Be  0.000  0.000  0.000
Be  0.000  0.500  0.250
Be  0.500  0.000  0.750
Be  0.500  0.500  0.500
Nb  0.000  0.000  0.500
Nb  0.000  0.500  0.750
Nb  0.500  0.000  0.250
Nb  0.500  0.500  0.000

Density functional theory data (PBE-GGA) for a relaxed La3Pr5Y4 crystal.

Output
Theoretical density   5.739 g cm⁻³
Crystal system   monoclinic
Energy   -0.190 Ha/atom

Unit cell a=8.804 b=8.804 c=9.493 alpha=115.02 beta=115.02 gamma=40.59
Fractional positions:
La  0.000  0.000  0.000
La  0.294  0.294  0.777
La  0.706  0.706  0.223
Pr  0.077  0.077  0.700
Pr  0.174  0.174  0.389
Pr  0.500  0.500  0.000
Pr  0.826  0.826  0.611
Pr  0.923  0.923  0.300
Y  0.291  0.291  0.128
Y  0.421  0.421  0.563
Y  0.579  0.579  0.437
Y  0.709  0.709  0.872

Density functional theory data (PBE-GGA) for a relaxed NdSmZnGa crystal.

Output
Theoretical density   7.189 g cm⁻³
Crystal system   cubic
Energy   -0.143 Ha/atom

Unit cell a=7.350 b=7.350 c=7.350 alpha=90.00 beta=90.00 gamma=90.00
Fractional positions:
Nd  0.000  0.000  0.000
Nd  0.000  0.500  0.500
Nd  0.500  0.000  0.500
Nd  0.500  0.500  0.000
Sm  0.000  0.000  0.500
Sm  0.000  0.500  0.000
Sm  0.500  0.000  0.000
Sm  0.500  0.500  0.500
Zn  0.250  0.250  0.250
Zn  0.250  0.750  0.750
Zn  0.750  0.250  0.750
Zn  0.750  0.750  0.250
Ga  0.250  0.250  0.750
Ga  0.250  0.750  0.250
Ga  0.750  0.250  0.250
Ga  0.750  0.750  0.750

Look up the energy of the second one.
-0.190 Ha/atom

Which of these has the lowest theoretical density?
La3Pr5Y4